# PdAu3 | the Alexandria database | GGA-PBEsol | relaxed
# ΔH_f (0 K) = -75 meV per atom
# Crystal system = cubic
# Final energy = -18.032 eV/cell
# DOS at the Fermi energy = 1.38 states/eV/cell
data_PdAu3
_cell_length_a 4.020
_cell_length_b 4.020
_cell_length_c 4.020
_cell_angle_alpha 90.00
_cell_angle_beta 90.00
_cell_angle_gamma 90.00
_symmetry_space_group_name_H-M 'P m -3 m'
_symmetry_Int_Tables_number 221
_symmetry_space_group_name_Hall '-P 4 2 3'
loop_
_atom_site_label
_atom_site_fract_x
_atom_site_fract_y
_atom_site_fract_z
Pd1 0.000 0.000 0.000
Au1 0.000 0.500 0.500